Ca3Sn2S7 | PBE | relaxed

Unit cell a=12.9845 b=12.9845 c=6.9881 alpha=90.00 beta=90.00 gamma=149.12
Fractional positions:
S (0.8227, 0.1773, 0.2500)
S (0.8831, 0.7908, 0.0000)
S (0.6192, 0.3808, 0.2500)
S (0.7908, 0.8831, 0.5000)
Sn (0.3837, 0.0972, 0.5000)
Sn (0.0972, 0.3837, 0.0000)
Sn (0.6163, 0.9028, 0.5000)
S (0.1773, 0.8227, 0.7500)
S (0.1169, 0.2092, 0.0000)
S (0.0000, 0.5000, 0.0000)
S (0.8227, 0.1773, 0.7500)
S (0.2092, 0.1169, 0.5000)
Ca (0.5000, 0.0000, 0.0000)
S (0.3808, 0.6192, 0.7500)
S (0.5000, 0.0000, 0.5000)
S (0.3808, 0.6192, 0.2500)
S (0.1773, 0.8227, 0.2500)
Ca (0.2953, 0.1682, 0.0000)
Ca (0.8318, 0.7047, 0.5000)
S (0.6192, 0.3808, 0.7500)
Ca (0.0000, 0.5000, 0.5000)
Ca (0.1682, 0.2953, 0.5000)
Sn (0.9028, 0.6163, 0.0000)
Ca (0.7047, 0.8318, 0.0000)

Summary:
**M_tot**: 0.000 μB/f.u.
**Uncorrected energy**: -4.538 eV per atom
**Uncorrected formation energy**: -0.96 eV/atom
**Space group**: No. 66
**Energy relative to the lowest polymorph listed for this composition**: 224 meV/atom

=====

Ca2SnS3 | PBE | relaxed

Unit cell a=4.0738 b=5.7612 c=7.0967 alpha=113.95 beta=106.68 gamma=90.00
Fractional positions:
S (0.0000, 0.0000, 0.0000)
Sn (0.0000, 0.5000, 0.0000)
Ca (0.6655, 0.1655, 0.3310)
S (0.3275, 0.3275, 0.6551)
Ca (0.3345, 0.8345, 0.6690)
S (0.6725, 0.6725, 0.3449)

Summary:
**M_tot**: 0.000 μB/f.u.
**Uncorrected energy**: -4.953 eV per atom
**Uncorrected formation energy**: -1.55 eV/atom
**Space group**: No. 71

=====

CaSn2S | PBE | relaxed

Unit cell a=9.1328 b=9.1328 c=7.0304 alpha=49.49 beta=49.49 gamma=90.00
Fractional positions:
S (0.2500, 0.7500, 0.5000)
S (0.5000, 0.5000, 0.0000)
Sn (0.8750, 0.8077, 0.7500)
Sn (0.1923, 0.6250, 0.2500)
Ca (0.0000, 0.0000, 0.0000)
Sn (0.3750, 0.4423, 0.7500)
Ca (0.7500, 0.2500, 0.5000)
Sn (0.5577, 0.1250, 0.2500)

Summary:
**M_tot**: 0.000 μB/f.u.
**Uncorrected energy**: -3.892 eV per atom
**Uncorrected formation energy**: -0.36 eV/atom
**Space group**: No. 122

=====

CaSnS3 | PBE | relaxed

Unit cell a=9.0670 b=9.0670 c=9.0670 alpha=60.00 beta=60.00 gamma=60.00
Fractional positions:
Sn (0.1250, 0.1250, 0.6250)
S (0.0298, 0.4702, 0.0298)
Sn (0.1250, 0.6250, 0.1250)
Ca (0.1250, 0.6250, 0.6250)
S (0.7798, 0.2202, 0.7798)
S (0.2202, 0.7798, 0.2202)
S (0.0298, 0.0298, 0.4702)
S (0.7798, 0.2202, 0.2202)
S (0.7798, 0.7798, 0.2202)
S (0.4702, 0.4702, 0.0298)
Ca (0.6250, 0.6250, 0.6250)
Sn (0.1250, 0.1250, 0.1250)
S (0.2202, 0.7798, 0.7798)
Sn (0.6250, 0.1250, 0.1250)
S (0.4702, 0.0298, 0.4702)
Ca (0.6250, 0.6250, 0.1250)
S (0.4702, 0.0298, 0.0298)
S (0.2202, 0.2202, 0.7798)
S (0.0298, 0.4702, 0.4702)
Ca (0.6250, 0.1250, 0.6250)

Summary:
**M_tot**: 0.000 μB/f.u.
**Uncorrected energy**: -4.453 eV per atom
**Uncorrected formation energy**: -0.78 eV/atom
**Space group**: No. 227
**Energy relative to the lowest polymorph listed for this composition**: 250 meV/atom

=====

CaSnS3 | PBE | relaxed

Unit cell a=6.5367 b=6.9555 c=10.6422 alpha=90.00 beta=90.00 gamma=90.00
Fractional positions:
S (0.6095, 0.9982, 0.6532)
S (0.3905, 0.0018, 0.3468)
Ca (0.2853, 0.2500, 0.5651)
S (0.0974, 0.7500, 0.5633)
Sn (0.6319, 0.2500, 0.2570)
S (0.4026, 0.2500, 0.0633)
Sn (0.8681, 0.7500, 0.7570)
S (0.8905, 0.0018, 0.1532)
S (0.9026, 0.2500, 0.4367)
S (0.5974, 0.7500, 0.9367)
S (0.8905, 0.4982, 0.1532)
S (0.1095, 0.9982, 0.8468)
S (0.6095, 0.5018, 0.6532)
S (0.3905, 0.4982, 0.3468)
Ca (0.7147, 0.7500, 0.4349)
S (0.1095, 0.5018, 0.8468)
Ca (0.2147, 0.7500, 0.0651)
Sn (0.1319, 0.2500, 0.2430)
Sn (0.3681, 0.7500, 0.7430)
Ca (0.7853, 0.2500, 0.9349)

Summary:
**M_tot**: 0.000 μB/f.u.
**Uncorrected energy**: -4.558 eV per atom
**Uncorrected formation energy**: -0.88 eV/atom
**Space group**: No. 62
**Energy relative to the lowest polymorph listed for this composition**: 145 meV/atom

=====

CaSnS3 | PBE | relaxed

Unit cell a=6.7072 b=7.0775 c=9.6490 alpha=90.00 beta=90.00 gamma=90.00
Fractional positions:
Sn (0.5000, 0.5000, 0.0000)
Ca (0.9658, 0.5921, 0.7500)
S (0.6855, 0.8099, 0.9342)
S (0.1360, 0.9531, 0.7500)
Ca (0.0342, 0.4079, 0.2500)
S (0.3145, 0.1901, 0.4342)
S (0.8640, 0.0469, 0.2500)
S (0.6360, 0.5469, 0.2500)
Ca (0.4658, 0.9079, 0.2500)
S (0.6855, 0.8099, 0.5658)
Sn (0.0000, 0.0000, 0.5000)
S (0.8145, 0.3099, 0.5658)
S (0.3145, 0.1901, 0.0658)
S (0.3640, 0.4531, 0.7500)
Sn (0.0000, 0.0000, 0.0000)
Sn (0.5000, 0.5000, 0.5000)
Ca (0.5342, 0.0921, 0.7500)
S (0.8145, 0.3099, 0.9342)
S (0.1855, 0.6901, 0.0658)
S (0.1855, 0.6901, 0.4342)

Summary:
**M_tot**: 0.000 μB/f.u.
**Uncorrected energy**: -4.659 eV per atom
**Uncorrected formation energy**: -0.98 eV/atom
**Space group**: No. 62
**Energy relative to the lowest polymorph listed for this composition**: 44 meV/atom